(1)
Here is Cs2IBr after structural relaxation from Alexandria via LeMat-Bulk. Energies are from PBE.

Lattice parameters (Å, degrees): 9.7533 9.7533 9.7533 31.07 31.07 31.07
Atoms (fractional coordinates):
1 Cs 0.0000 0.0000 0.0000
2 Cs 0.1786 0.1786 0.1786
3 I 0.7566 0.7566 0.7566
4 Br 0.5887 0.5887 0.5887

Values from the calculation:
Symmetry: No. 160
Size of the total moment, μB per cell: 0.00
Formation energy from raw total energies, eV/atom: -1.6487
Relative energy among the computed polymorphs, meV per atom: 16.9
Final energy, eV per atom: -2.881

=====

(2)
Here is TmFeRh after structural relaxation from Alexandria via LeMat-Bulk. Energies are from PBE.

Lattice parameters (Å, degrees): 3.2316 3.2316 9.6192 90.00 90.00 90.00
Atoms (fractional coordinates):
1 Tm 0.0000 0.0000 0.1705
2 Tm 0.0000 0.0000 0.8295
3 Fe 0.0000 0.0000 0.5000
4 Fe 0.5000 0.5000 0.0000
5 Rh 0.5000 0.5000 0.3549
6 Rh 0.5000 0.5000 0.6451

Values from the calculation:
Symmetry: No. 123
Size of the total moment, μB per cell: 4.65
Final energy, eV per atom: -6.997

=====

(3)
Here is SiMoCl2 after structural relaxation from Alexandria via LeMat-Bulk. Energies are from PBE.

Lattice parameters (Å, degrees): 2.9552 2.9552 10.0136 90.00 90.00 90.00
Atoms (fractional coordinates):
1 Si 0.0000 0.0000 0.0000
2 Mo 0.0000 0.0000 0.5000
3 Cl 0.5000 0.5000 0.3496
4 Cl 0.5000 0.5000 0.6504

Values from the calculation:
Symmetry: No. 123
Size of the total moment, μB per cell: 0.19
Formation energy from raw total energies, eV/atom: 0.4615
Relative energy among the computed polymorphs, meV per atom: 799.8
Final energy, eV per atom: -4.525

=====

(4)
Here is PuSbPt after structural relaxation from Alexandria via LeMat-Bulk. Energies are from PBE.

Lattice parameters (Å, degrees): 5.8503 5.8503 5.8503 144.31 144.31 51.36
Atoms (fractional coordinates):
1 Pu 0.0000 0.0000 0.0000
2 Sb 0.6994 0.6994 0.0000
3 Pt 0.3507 0.3507 0.0000

Values from the calculation:
Symmetry: No. 107
Size of the total moment, μB per cell: 5.04
Formation energy from raw total energies, eV/atom: -0.4708
Final energy, eV per atom: -8.636

=====

(5)
Here is Ce8RhPb2 after structural relaxation from Alexandria via LeMat-Bulk. Energies are from PBE.

Lattice parameters (Å, degrees): 8.8818 8.8818 6.8501 108.21 108.21 35.08
Atoms (fractional coordinates):
1 Ce 0.0032 0.0032 0.3061
2 Ce 0.1885 0.1885 0.1531
3 Ce 0.3541 0.3541 0.1079
4 Ce 0.4004 0.4004 0.6006
5 Ce 0.5996 0.5996 0.3994
6 Ce 0.6459 0.6459 0.8921
7 Ce 0.8115 0.8115 0.8469
8 Ce 0.9968 0.9968 0.6939
9 Rh 0.5000 0.5000 0.0000
10 Pb 0.1958 0.1958 0.6592
11 Pb 0.8042 0.8042 0.3408

Values from the calculation:
Symmetry: No. 12
Size of the total moment, μB per cell: 5.93
Final energy, eV per atom: -5.925

=====

(6)
Here is NpCl2F4 after structural relaxation from Alexandria via LeMat-Bulk. Energies are from PBE.

Lattice parameters (Å, degrees): 3.8634 3.8654 10.6445 97.48 97.37 90.08
Atoms (fractional coordinates):
1 Np 0.0000 0.0000 0.0000
2 Cl 0.4638 0.4563 0.5875
3 Cl 0.5362 0.5437 0.4125
4 F 0.0382 0.5395 0.1164
5 F 0.4601 0.9632 0.8836
6 F 0.5399 0.0368 0.1164
7 F 0.9618 0.4605 0.8836

Values from the calculation:
Symmetry: No. 2
Size of the total moment, μB per cell: 2.99
Formation energy from raw total energies, eV/atom: -2.4172
Final energy, eV per atom: -5.863

=====

(7)
Here is Ta2RuSe after structural relaxation from Alexandria via LeMat-Bulk. Energies are from PBE.

Lattice parameters (Å, degrees): 4.0367 4.0367 4.1043 90.00 90.00 90.00
Atoms (fractional coordinates):
1 Ta 0.0000 0.5000 0.0000
2 Ta 0.5000 0.0000 0.0000
3 Ru 0.0000 0.0000 0.5000
4 Se 0.5000 0.5000 0.5000

Values from the calculation:
Symmetry: No. 123
Size of the total moment, μB per cell: 0.00
Formation energy from raw total energies, eV/atom: 0.1884
Final energy, eV per atom: -8.928

=====

(8)
Here is GaHgBi3 after structural relaxation from Alexandria via LeMat-Bulk. Energies are from PBE.

Lattice parameters (Å, degrees): 5.5626 5.5626 5.5626 90.00 90.00 90.00
Atoms (fractional coordinates):
1 Ga 0.0000 0.0000 0.0000
2 Hg 0.5000 0.5000 0.5000
3 Bi 0.0000 0.0000 0.5000
4 Bi 0.0000 0.5000 0.0000
5 Bi 0.5000 0.0000 0.0000

Values from the calculation:
Symmetry: No. 221
Size of the total moment, μB per cell: 0.00
Relative energy among the computed polymorphs, meV per atom: 0.0
Final energy, eV per atom: -2.523

=====

(9)
Here is Nd2BS4 after structural relaxation from Alexandria via LeMat-Bulk. Energies are from PBE.

Lattice parameters (Å, degrees): 6.4693 6.1322 7.6020 90.00 107.12 90.00
Atoms (fractional coordinates):
1 Nd 0.2289 0.2500 0.4339
2 Nd 0.2595 0.2500 0.9391
3 Nd 0.7405 0.7500 0.0609
4 Nd 0.7711 0.7500 0.5661
5 B 0.2893 0.7500 0.2016
6 B 0.7107 0.2500 0.7984
7 S 0.1108 0.7500 0.3757
8 S 0.1226 0.7500 0.9383
9 S 0.4819 0.5068 0.2556
10 S 0.4819 0.9932 0.2556
11 S 0.5181 0.0068 0.7444
12 S 0.5181 0.4932 0.7444
13 S 0.8774 0.2500 0.0617
14 S 0.8892 0.2500 0.6243

Values from the calculation:
Symmetry: No. 11
Size of the total moment, μB per cell: 0.00
Formation energy from raw total energies, eV/atom: -1.3796
Final energy, eV per atom: -6.054

=====

(10)
Here is RbYHf after structural relaxation from Alexandria via LeMat-Bulk. Energies are from PBE.

Lattice parameters (Å, degrees): 5.7332 5.7332 5.7332 60.00 60.00 60.00
Atoms (fractional coordinates):
1 Rb 0.0000 0.0000 0.0000
2 Y 0.5000 0.5000 0.5000
3 Hf 0.7500 0.7500 0.7500

Values from the calculation:
Symmetry: No. 216
Size of the total moment, μB per cell: 4.64
Relative energy among the computed polymorphs, meV per atom: 1389.2
Final energy, eV per atom: -4.160

=====

(11)
Here is TlSnRh after structural relaxation from Alexandria via LeMat-Bulk. Energies are from PBE.

Lattice parameters (Å, degrees): 3.7271 3.7271 9.7654 90.10 90.10 90.00
Atoms (fractional coordinates):
1 Tl 0.2505 0.2505 0.0976
2 Tl 0.7495 0.7495 0.9024
3 Sn 0.2478 0.2478 0.6679
4 Sn 0.7522 0.7522 0.3321
5 Rh 0.2526 0.2526 0.3958
6 Rh 0.7474 0.7474 0.6042

Values from the calculation:
Symmetry: No. 12
Size of the total moment, μB per cell: 0.00
Relative energy among the computed polymorphs, meV per atom: 0.0
Final energy, eV per atom: -4.710

=====

(12)
Here is BeZnAg2 after structural relaxation from Alexandria via LeMat-Bulk. Energies are from PBE.

Lattice parameters (Å, degrees): 2.9039 3.0229 6.6044 90.00 90.47 90.00
Atoms (fractional coordinates):
1 Be 0.0000 0.0000 0.0000
2 Zn 0.0000 0.0000 0.5000
3 Ag 0.5003 0.5000 0.2201
4 Ag 0.4997 0.5000 0.7799

Values from the calculation:
Symmetry: No. 10
Size of the total moment, μB per cell: 0.00
Relative energy among the computed polymorphs, meV per atom: 0.0
Final energy, eV per atom: -2.604